Record 1
In2SbAs at its PBEsol-relaxed geometry. Source: Alexandria via LeMat-Bulk, functional SCAN.

Cell lengths 7.7236, 7.7236, 7.7236 Å; angles 33.51, 33.51, 33.51 degrees
Fractional coordinates of all 4 atoms:
In: 0.0000 0.0000 0.0000
In: 0.4904 0.4904 0.4904
Sb: 0.6194 0.6194 0.6194
As: 0.1205 0.1205 0.1205

Output
E_tot	-31.26	eV per atom
space group	R3m, No. 160
total magnetization	0.0	μB per cell
Fermi-level density of states	0.121	states/eV per cell
offset from the most stable computed form	0	meV per atom
uncorrected formation energy	-203	meV/atom

=====

Record 2
InSbAs2 at its PBEsol-relaxed geometry. Source: Alexandria via LeMat-Bulk, functional SCAN.

Cell lengths 4.9671, 4.9671, 4.9671 Å; angles 60.00, 60.00, 60.00 degrees
Fractional coordinates of all 4 atoms:
In: 0.0000 0.0000 0.0000
Sb: 0.7500 0.7500 0.7500
As: 0.2500 0.2500 0.2500
As: 0.5000 0.5000 0.5000

Output
E_tot	-27.39	eV per atom
space group	F-43m, No. 216
total magnetization	0.0	μB per cell
Fermi-level density of states	2.250	states/eV per cell
offset from the most stable computed form	406	meV per atom
uncorrected formation energy	370	meV/atom

=====

Record 3
InSbAs2 at its PBEsol-relaxed geometry. Source: Alexandria via LeMat-Bulk, functional SCAN.

Cell lengths 4.0146, 4.0146, 5.8373 Å; angles 90.00, 90.00, 90.00 degrees
Fractional coordinates of all 4 atoms:
In: 0.0000 0.0000 0.0000
Sb: 0.5000 0.5000 0.4913
As: 0.0000 0.0000 0.5236
As: 0.5000 0.5000 0.0353

Output
E_tot	-27.79	eV per atom
space group	P4mm, No. 99
total magnetization	0.0	μB per cell
Fermi-level density of states	1.026	states/eV per cell
offset from the most stable computed form	0	meV per atom
uncorrected formation energy	-36	meV/atom

=====

Record 4
Sc2InAs at its PBEsol-relaxed geometry. Source: Alexandria via LeMat-Bulk, functional SCAN.

Cell lengths 4.8640, 4.8640, 4.8640 Å; angles 60.00, 60.00, 60.00 degrees
Fractional coordinates of all 4 atoms:
Sc: 0.2500 0.2500 0.2500
Sc: 0.7500 0.7500 0.7500
In: 0.0000 0.0000 0.0000
As: 0.5000 0.5000 0.5000

Output
E_tot	-21.09	eV per atom
space group	Fm-3m, No. 225
total magnetization	0.0	μB per cell
Fermi-level density of states	3.546	states/eV per cell
offset from the most stable computed form	378	meV per atom

=====

Which formula does entry 2 have? InSbAs2

=====

The lowest Fermi-level density of states belongs to which entry? In2SbAs